[1]
# Pm2PaGa3Ir4 (GGA-PBE, optimized geometry)
data_Pm2PaGa3Ir4
_chemical_formula_sum 'Pm2 Pa1 Ga3 Ir4'
_cell_length_a 4.329
_cell_length_b 4.329
_cell_length_c 10.908
_cell_angle_alpha 90.00
_cell_angle_beta 90.00
_cell_angle_gamma 90.00
_symmetry_space_group_name_H-M 'P -4 m 2'
_symmetry_Int_Tables_number 115
_symmetry_space_group_name_Hall 'P -4 -2'
loop_
_atom_site_label
_atom_site_fract_x
_atom_site_fract_y
_atom_site_fract_z
_atom_site_occupancy
Pm1 0.000 0.500 0.214 1
Pa1 0.000 0.000 0.500 1
Ga1 0.000 0.500 0.880 1
Ga2 0.500 0.500 0.500 1
Ir1 0.000 0.000 0.000 1
Ir2 0.000 0.500 0.647 1
Ir3 0.500 0.500 0.000 1
# formation energy from the elements = -0.703 eV/atom
# spin magnetization = 0.00 Bohr magnetons per cell
# DFT total energy = -7.06 eV/atom

---

[2]
# Ho2Th2Cd (GGA-PBE, optimized geometry)
data_Ho2Th2Cd
_chemical_formula_sum 'Ho4 Th4 Cd2'
_cell_length_a 3.599
_cell_length_b 3.599
_cell_length_c 22.701
_cell_angle_alpha 90.00
_cell_angle_beta 90.00
_cell_angle_gamma 90.00
_symmetry_space_group_name_H-M 'I 4/m m m'
_symmetry_Int_Tables_number 139
_symmetry_space_group_name_Hall '-I 4 2'
loop_
_atom_site_label
_atom_site_fract_x
_atom_site_fract_y
_atom_site_fract_z
_atom_site_occupancy
Ho1 0.000 0.000 0.088 1
Th1 0.000 0.000 0.304 1
Cd1 0.000 0.000 0.500 1
# formation energy from the elements = -0.125 eV/atom
# spin magnetization = 0.00 Bohr magnetons per cell
# DFT total energy = -5.11 eV/atom

---

[3]
# SrCa3 (GGA-PBE, optimized geometry)
data_SrCa3
_chemical_formula_sum 'Sr2 Ca6'
_cell_length_a 5.661
_cell_length_b 5.669
_cell_length_c 11.205
_cell_angle_alpha 90.00
_cell_angle_beta 90.00
_cell_angle_gamma 90.00
_symmetry_space_group_name_H-M 'C m m m'
_symmetry_Int_Tables_number 65
_symmetry_space_group_name_Hall '-C 2 2'
loop_
_atom_site_label
_atom_site_fract_x
_atom_site_fract_y
_atom_site_fract_z
_atom_site_occupancy
Sr1 0.000 0.000 0.000 1
Ca1 0.000 0.000 0.500 1
Ca2 0.000 0.500 0.263 1
# formation energy from the elements = 0.014 eV/atom
# spin magnetization = 0.00 Bohr magnetons per cell
# E above lowest polymorph = 0 meV/atom
# DFT total energy = -1.91 eV/atom

---

[4]
# Tm2Cd5Ag (GGA-PBE, optimized geometry)
data_Tm2Cd5Ag
_chemical_formula_sum 'Tm6 Cd15 Ag3'
_cell_length_a 4.6915
_cell_length_b 4.6915
_cell_length_c 32.2249
_cell_angle_alpha 90.00
_cell_angle_beta 90.00
_cell_angle_gamma 120.00
_symmetry_space_group_name_H-M 'R -3 m'
_symmetry_Int_Tables_number 166
_symmetry_space_group_name_Hall '-R 3 2"'
loop_
_atom_site_label
_atom_site_fract_x
_atom_site_fract_y
_atom_site_fract_z
_atom_site_occupancy
Tm1 0.0000 0.0000 0.0919 1
Cd1 0.0000 0.0000 0.1974 1
Cd2 0.0000 0.0000 0.3660 1
Cd3 0.0000 0.0000 0.5000 1
Ag1 0.0000 0.0000 0.0000 1
# formation energy from the elements = -0.031 eV/atom
# spin magnetization = 0.00 Bohr magnetons per cell
# DFT total energy = -2.08 eV/atom

---

[5]
# Ac2TlAg3Sn4 (GGA-PBE, optimized geometry)
data_Ac2TlAg3Sn4
_chemical_formula_sum 'Ac2 Tl1 Ag3 Sn4'
_cell_length_a 4.807
_cell_length_b 4.807
_cell_length_c 11.812
_cell_angle_alpha 90.00
_cell_angle_beta 90.00
_cell_angle_gamma 90.00
_symmetry_space_group_name_H-M 'P -4 m 2'
_symmetry_Int_Tables_number 115
_symmetry_space_group_name_Hall 'P -4 -2'
loop_
_atom_site_label
_atom_site_fract_x
_atom_site_fract_y
_atom_site_fract_z
_atom_site_occupancy
Ac1 0.000 0.500 0.243 1
Tl1 0.000 0.000 0.500 1
Ag1 0.000 0.500 0.871 1
Ag2 0.500 0.500 0.500 1
Sn1 0.000 0.000 0.000 1
Sn2 0.000 0.500 0.644 1
Sn3 0.500 0.500 0.000 1
# formation energy from the elements = -0.351 eV/atom
# spin magnetization = 0.00 Bohr magnetons per cell
# DFT total energy = -3.87 eV/atom

---

[6]
# InBi5Pb2 (GGA-PBE, optimized geometry)
data_InBi5Pb2
_chemical_formula_sum 'In1 Bi5 Pb2'
_cell_length_a 6.768
_cell_length_b 6.782
_cell_length_c 7.290
_cell_angle_alpha 64.14
_cell_angle_beta 63.32
_cell_angle_gamma 88.92
_symmetry_space_group_name_H-M 'P 1'
_symmetry_Int_Tables_number 1
_symmetry_space_group_name_Hall 'P 1'
loop_
_atom_site_label
_atom_site_fract_x
_atom_site_fract_y
_atom_site_fract_z
_atom_site_occupancy
In1 0.000 0.000 0.000 1
Bi1 0.083 0.471 0.991 1
Bi2 0.431 0.002 0.555 1
Bi3 0.533 0.923 0.002 1
Bi4 0.597 0.401 0.997 1
Bi5 0.995 0.572 0.444 1
Pb1 0.489 0.511 0.494 1
Pb2 0.975 0.033 0.495 1
# formation energy from the elements = 0.042 eV/atom
# spin magnetization = 0.00 Bohr magnetons per cell
# DFT total energy = -3.65 eV/atom

---

[7]
# KYMg (GGA-PBE, optimized geometry)
data_KYMg
_chemical_formula_sum 'K2 Y2 Mg2'
_cell_length_a 3.630
_cell_length_b 3.630
_cell_length_c 16.981
_cell_angle_alpha 90.00
_cell_angle_beta 90.00
_cell_angle_gamma 90.00
_symmetry_space_group_name_H-M 'I 4 m m'
_symmetry_Int_Tables_number 107
_symmetry_space_group_name_Hall 'I 4 -2'
loop_
_atom_site_label
_atom_site_fract_x
_atom_site_fract_y
_atom_site_fract_z
_atom_site_occupancy
K1 0.000 0.000 0.000 1
Y1 0.000 0.000 0.704 1
Mg1 0.000 0.000 0.324 1
# formation energy from the elements = 0.247 eV/atom
# spin magnetization = 0.46 Bohr magnetons per cell
# DFT total energy = -2.81 eV/atom

---

[8]
# HoCdTe2 (GGA-PBE, optimized geometry)
data_HoCdTe2
_chemical_formula_sum 'Ho3 Cd3 Te6'
_cell_length_a 4.3869
_cell_length_b 4.3869
_cell_length_c 27.6475
_cell_angle_alpha 90.00
_cell_angle_beta 90.00
_cell_angle_gamma 120.00
_symmetry_space_group_name_H-M 'R -3 m'
_symmetry_Int_Tables_number 166
_symmetry_space_group_name_Hall '-R 3 2"'
loop_
_atom_site_label
_atom_site_fract_x
_atom_site_fract_y
_atom_site_fract_z
_atom_site_occupancy
Ho1 0.0000 0.0000 0.0000 1
Cd1 0.0000 0.0000 0.5000 1
Te1 0.0000 0.0000 0.3955 1
# ΔE_f (raw) = -0.73 eV per atom
# spin magnetization = 0.00 Bohr magnetons per cell
# E above lowest polymorph = 67 meV/atom
# DFT total energy = -3.68 eV/atom

---

What did the third record say?
# SrCa3 (GGA-PBE, optimized geometry)
data_SrCa3
_chemical_formula_sum 'Sr2 Ca6'
_cell_length_a 5.661
_cell_length_b 5.669
_cell_length_c 11.205
_cell_angle_alpha 90.00
_cell_angle_beta 90.00
_cell_angle_gamma 90.00
_symmetry_space_group_name_H-M 'C m m m'
_symmetry_Int_Tables_number 65
_symmetry_space_group_name_Hall '-C 2 2'
loop_
_atom_site_label
_atom_site_fract_x
_atom_site_fract_y
_atom_site_fract_z
_atom_site_occupancy
Sr1 0.000 0.000 0.000 1
Ca1 0.000 0.000 0.500 1
Ca2 0.000 0.500 0.263 1
# formation energy from the elements = 0.014 eV/atom
# spin magnetization = 0.00 Bohr magnetons per cell
# E above lowest polymorph = 0 meV/atom
# DFT total energy = -1.91 eV/atom

---

Q: What is the DFT total energy in the fourth record?
A: -2.08 eV/atom